## TcWBr2 (PBE)

Data for a geometry-optimized TcWBr2 structure.

a = 2.9421 Å, b = 4.5308 Å, c = 5.6168 Å
α = 90.00°, β = 90.00°, γ = 90.00°
Last column: nearest neighbours and their distance in Å.
Atoms (fractional coordinates):
Tc 0.0000 0.0000 0.0000  4 Br 2.70, 2 Tc 2.94
W 0.5000 0.0000 0.5000  4 Br 2.70, 2 W 2.94
Br 0.0000 0.5000 0.5000  4 W 2.70, 2 Br 2.94
Br 0.5000 0.5000 0.0000  4 Tc 2.70, 2 Br 2.94

Values from the calculation:
**Raw formation energy**: 1.2578 eV per atom
**Total magnetization**: 2.11 μB per cell
**SG**: Pmmm, No. 47
**Crystal system**: orthorhombic
**D(E_F)**: 4.63 states/eV per cell
**Offset from the most stable computed form**: 119.9 kJ/mol of atoms